Entry 1:
VASP calculation (PBE) on crystalline Y8P3Se4O at its relaxed geometry.

Cell: 7.8973 7.8973 20.0048 Å, 90.00 90.00 120.00°
Space group R-3m (No. 166, hexagonal axes)
Inequivalent atoms, fractional coordinates:
Y  0.0000  0.0000  0.2424 x6
Y  0.0113  0.5056  0.2394 x18
P  0.0000  0.5000  0.5000 x9
Se  0.0000  0.0000  0.0000 x3
Se  0.0000  0.5000  0.0000 x9
O  0.0000  0.0000  0.5000 x3

Total moment (μB/atom): 0.000
E (eV/atom): -7.2847

Entry 2:
VASP calculation (PBE) on crystalline Y4PSe2O at its relaxed geometry.

Cell: 6.6700 3.8830 6.9783 Å, 90.00 108.80 90.00°
Space group P2/m (No. 10)
Inequivalent atoms, fractional coordinates:
Y  0.2247  0.0000  0.2092 x2
Y  0.2444  0.5000  0.7863 x2
P  0.5000  0.0000  0.0000 x1
Se  0.0000  0.0000  0.5000 x1
Se  0.5000  0.5000  0.5000 x1
O  0.0000  0.5000  0.0000 x1

Total moment (μB/atom): 0.000
E (eV/atom): -7.3391

Entry 3:
VASP calculation (PBE) on crystalline Y8P3Se3O at its relaxed geometry.

Cell: 7.8800 7.8800 19.8486 Å, 90.00 90.00 120.00°
Space group R-3m (No. 166, hexagonal axes)
Inequivalent atoms, fractional coordinates:
Y  0.0000  0.0000  0.2425 x6
Y  0.0163  0.5081  0.2396 x18
P  0.0000  0.5000  0.5000 x9
Se  0.0000  0.5000  0.0000 x9
O  0.0000  0.0000  0.5000 x3

Total moment (μB/atom): 0.000
E (eV/atom): -7.2657

Entry 4:
VASP calculation (PBE) on crystalline ZnP2SeO at its relaxed geometry.

Cell: 4.9134 4.9134 3.6757 Å, 90.00 90.00 90.00°
Space group P4/mmm (No. 123)
Inequivalent atoms, fractional coordinates:
Zn  0.0000  0.0000  0.0000 x1
P  0.0000  0.5000  0.5000 x2
Se  0.5000  0.5000  0.5000 x1
O  0.5000  0.5000  0.0000 x1

Total moment (μB/atom): 0.000
E (eV/atom): -3.5158
Energy relative to the lowest polymorph listed for this composition (meV per atom): 183.3

Entry 5:
VASP calculation (PBE) on crystalline ZnP2SeO at its relaxed geometry.

Cell: 3.7808 3.7808 6.9394 Å, 90.00 90.00 90.00°
Space group P4/mmm (No. 123)
Inequivalent atoms, fractional coordinates:
Zn  0.0000  0.0000  0.0000 x1
P  0.0000  0.5000  0.5000 x2
Se  0.5000  0.5000  0.0000 x1
O  0.5000  0.5000  0.5000 x1

Total moment (μB/atom): 0.000
E (eV/atom): -3.6990
Energy relative to the lowest polymorph listed for this composition (meV per atom): 0.0

Entry 6:
VASP calculation (PBE) on crystalline ZnP2SeO at its relaxed geometry.

Cell: 4.7842 4.7842 3.6798 Å, 90.00 90.00 90.00°
Space group P4/mmm (No. 123)
Inequivalent atoms, fractional coordinates:
Zn  0.0000  0.0000  0.0000 x1
P  0.0000  0.5000  0.0000 x2
Se  0.5000  0.5000  0.5000 x1
O  0.0000  0.0000  0.5000 x1

Total moment (μB/atom): 0.000
E (eV/atom): -3.5518
Energy relative to the lowest polymorph listed for this composition (meV per atom): 147.2

Entry 7:
VASP calculation (PBE) on crystalline ZrP2SeO at its relaxed geometry.

Cell: 5.2278 5.2278 3.9591 Å, 90.00 90.00 90.00°
Space group P4/mmm (No. 123)
Inequivalent atoms, fractional coordinates:
Zr  0.0000  0.0000  0.0000 x1
P  0.0000  0.5000  0.0000 x2
Se  0.5000  0.5000  0.5000 x1
O  0.0000  0.0000  0.5000 x1

Total moment (μB/atom): 0.000
E (eV/atom): -5.8180
Energy relative to the lowest polymorph listed for this composition (meV per atom): 0.0

Entry 8:
VASP calculation (PBE) on crystalline ZrP2SeO at its relaxed geometry.

Cell: 4.7383 4.7383 3.7952 Å, 90.00 90.00 90.00°
Space group P4/mmm (No. 123)
Inequivalent atoms, fractional coordinates:
Zr  0.0000  0.0000  0.0000 x1
P  0.0000  0.5000  0.5000 x2
Se  0.5000  0.5000  0.5000 x1
O  0.5000  0.5000  0.0000 x1

Total moment (μB/atom): 0.000
E (eV/atom): -5.5313
Energy relative to the lowest polymorph listed for this composition (meV per atom): 286.7

Entry 9:
VASP calculation (PBE) on crystalline SiPO3 at its relaxed geometry.

Cell: 3.6474 3.6474 3.6474 Å, 90.00 90.00 90.00°
Space group Pm-3m (No. 221)
Inequivalent atoms, fractional coordinates:
Si  0.0000  0.0000  0.0000 x1
P  0.5000  0.5000  0.5000 x1
O  0.0000  0.5000  0.5000 x3

Total moment (μB/atom): 0.000
E (eV/atom): -5.7598

Entry 10:
VASP calculation (PBE) on crystalline Si2PO at its relaxed geometry.

Cell: 5.4001 5.4001 8.1161 Å, 90.00 90.00 90.00°
Space group I-42d (No. 122)
Inequivalent atoms, fractional coordinates:
Si  0.2102  0.2500  0.1250 x8
P  0.0000  0.0000  0.5000 x4
O  0.0000  0.0000  0.0000 x4

Total moment (μB/atom): 0.000
E (eV/atom): -5.4011
Energy relative to the lowest polymorph listed for this composition (meV per atom): 0.0

Entry 11:
VASP calculation (PBE) on crystalline SiPO4 at its relaxed geometry.

Cell: 5.1956 5.1956 7.6288 Å, 90.00 90.00 90.00°
Space group I-4 (No. 82)
Inequivalent atoms, fractional coordinates:
Si  0.0000  0.0000  0.0000 x2
P  0.0000  0.5000  0.2500 x2
O  0.0790  0.2564  0.1278 x8

Total moment (μB/atom): 0.000
E (eV/atom): -6.9782
Energy relative to the lowest polymorph listed for this composition (meV per atom): 44.0

Entry 12:
VASP calculation (PBE) on crystalline SiPO2 at its relaxed geometry.

Cell: 2.7513 2.7513 19.4686 Å, 90.00 90.00 120.00°
Space group R-3m (No. 166, hexagonal axes)
Inequivalent atoms, fractional coordinates:
Si  0.0000  0.0000  0.0000 x3
P  0.0000  0.0000  0.5000 x3
O  0.0000  0.0000  0.0878 x6

Total moment (μB/atom): 0.000
E (eV/atom): -5.6252
Energy relative to the lowest polymorph listed for this composition (meV per atom): 1100.4

Entry 13:
VASP calculation (PBE) on crystalline SiPO3 at its relaxed geometry.

Cell: 3.5370 3.5370 3.5370 Å, 90.00 90.00 90.00°
Space group Pm-3m (No. 221)
Inequivalent atoms, fractional coordinates:
Si  0.0000  0.0000  0.0000 x1
P  0.5000  0.5000  0.5000 x1
O  0.0000  0.0000  0.5000 x3

Total moment (μB/atom): 0.000
E (eV/atom): -6.2069

Entry 14:
VASP calculation (PBE) on crystalline SiPO2 at its relaxed geometry.

Cell: 7.4878 7.4878 7.4878 Å, 90.00 90.00 90.00°
Space group Fd-3m (No. 227, origin choice 2)
Inequivalent atoms, fractional coordinates:
Si  0.1250  0.1250  0.1250 x8
P  0.1250  0.1250  0.6250 x8
O  0.0000  0.0000  0.0000 x16

Total moment (μB/atom): 0.000
E (eV/atom): -6.4090
Energy relative to the lowest polymorph listed for this composition (meV per atom): 316.6

Entry 15:
VASP calculation (PBE) on crystalline SiPO2 at its relaxed geometry.

Cell: 5.5569 5.5569 5.5569 Å, 90.00 90.00 90.00°
Space group Fm-3m (No. 225)
Inequivalent atoms, fractional coordinates:
Si  0.0000  0.0000  0.0000 x4
P  0.0000  0.0000  0.5000 x4
O  0.2500  0.2500  0.2500 x8

Total moment (μB/atom): 0.000
E (eV/atom): -4.8726
Energy relative to the lowest polymorph listed for this composition (meV per atom): 1853.0

Entry 16:
VASP calculation (PBE) on crystalline SiPO4 at its relaxed geometry.

Cell: 4.9726 4.9726 11.0430 Å, 90.00 90.00 120.00°
Space group P3_121 (No. 152)
Inequivalent atoms, fractional coordinates:
Si  0.0000  0.4128  0.1667 x3
P  0.0000  0.4553  0.6667 x3
O  0.0944  0.7155  0.7707 x6
O  0.1739  0.6517  0.2785 x6

Total moment (μB/atom): 0.165
E (eV/atom): -7.0223
Energy relative to the lowest polymorph listed for this composition (meV per atom): 0.0

Entry 17:
VASP calculation (PBE) on crystalline Si2PO at its relaxed geometry.

Cell: 5.7670 5.7670 5.7670 Å, 90.00 90.00 90.00°
Space group Fm-3m (No. 225)
Inequivalent atoms, fractional coordinates:
Si  0.2500  0.2500  0.2500 x8
P  0.0000  0.0000  0.0000 x4
O  0.0000  0.0000  0.5000 x4

Total moment (μB/atom): 0.000
E (eV/atom): -5.1220
Energy relative to the lowest polymorph listed for this composition (meV per atom): 279.1

Entry 18:
VASP calculation (PBE) on crystalline SiP2O at its relaxed geometry.

Cell: 5.7669 5.7669 5.7669 Å, 90.00 90.00 90.00°
Space group Fm-3m (No. 225)
Inequivalent atoms, fractional coordinates:
Si  0.0000  0.0000  0.0000 x4
P  0.2500  0.2500  0.2500 x8
O  0.0000  0.0000  0.5000 x4

Total moment (μB/atom): 0.000
E (eV/atom): -4.8407
Energy relative to the lowest polymorph listed for this composition (meV per atom): 264.1

Entry 19:
VASP calculation (PBE) on crystalline SiPO2 at its relaxed geometry.

Cell: 2.6355 2.6355 25.3668 Å, 90.00 90.00 120.00°
Space group R-3m (No. 166, hexagonal axes)
Inequivalent atoms, fractional coordinates:
Si  0.0000  0.0000  0.0000 x3
P  0.0000  0.0000  0.5000 x3
O  0.0000  0.0000  0.3699 x6

Total moment (μB/atom): 0.000
E (eV/atom): -6.7256
Energy relative to the lowest polymorph listed for this composition (meV per atom): 0.0

Entry 20:
VASP calculation (PBE) on crystalline SiP2O at its relaxed geometry.

Cell: 4.5028 4.5028 12.1869 Å, 90.00 90.00 90.00°
Space group I-42d (No. 122)
Inequivalent atoms, fractional coordinates:
Si  0.0000  0.0000  0.0000 x4
P  0.1704  0.2500  0.6250 x8
O  0.0000  0.0000  0.5000 x4

Total moment (μB/atom): 0.000
E (eV/atom): -5.1047
Energy relative to the lowest polymorph listed for this composition (meV per atom): 0.0

Entry 21:
VASP calculation (PBE) on crystalline SiSnPO2 at its relaxed geometry.

Cell: 3.9099 3.9099 5.4851 Å, 90.00 90.00 90.00°
Space group P4/mmm (No. 123)
Inequivalent atoms, fractional coordinates:
Si  0.0000  0.0000  0.0000 x1
Sn  0.5000  0.5000  0.5000 x1
P  0.5000  0.5000  0.0000 x1
O  0.0000  0.5000  0.5000 x2

Total moment (μB/atom): 0.000
E (eV/atom): -5.0781
Energy relative to the lowest polymorph listed for this composition (meV per atom): 816.6

Entry 22:
VASP calculation (PBE) on crystalline SiSnPO2 at its relaxed geometry.

Cell: 3.6423 3.6423 4.8738 Å, 90.00 90.00 90.00°
Space group P4/mmm (No. 123)
Inequivalent atoms, fractional coordinates:
Si  0.0000  0.0000  0.0000 x1
Sn  0.5000  0.5000  0.5000 x1
P  0.0000  0.0000  0.5000 x1
O  0.0000  0.5000  0.0000 x2

Total moment (μB/atom): 0.000
E (eV/atom): -5.8947
Energy relative to the lowest polymorph listed for this composition (meV per atom): 0.0

Entry 23:
VASP calculation (PBE) on crystalline SiSnP2O8 at its relaxed geometry.

Cell: 7.8949 5.0243 7.3419 Å, 90.00 92.82 90.00°
Space group C2/m (No. 12)
Inequivalent atoms, fractional coordinates:
Si  0.0000  0.0000  0.0000 x2
Sn  0.0000  0.0000  0.5000 x2
P  0.1407  0.5000  0.7975 x4
O  0.0277  0.2474  0.8248 x8
O  0.1935  0.5000  0.6006 x4
O  0.2164  0.0000  0.0543 x4

Total moment (μB/atom): 0.000
E (eV/atom): -7.1384

Entry 24:
VASP calculation (PBE) on crystalline Ta2SiPO at its relaxed geometry.

Cell: 4.6831 4.6831 4.1742 Å, 90.00 90.00 90.00°
Space group P4/mmm (No. 123)
Inequivalent atoms, fractional coordinates:
Ta  0.0000  0.5000  0.0000 x2
Si  0.0000  0.0000  0.0000 x1
P  0.0000  0.0000  0.5000 x1
O  0.5000  0.5000  0.5000 x1

Total moment (μB/atom): 0.000
E (eV/atom): -6.6482

Entry 25:
VASP calculation (PBE) on crystalline TaSiPO2 at its relaxed geometry.

Cell: 3.4002 3.4002 6.6066 Å, 90.00 90.00 90.00°
Space group P4/mmm (No. 123)
Inequivalent atoms, fractional coordinates:
Ta  0.0000  0.0000  0.0000 x1
Si  0.5000  0.5000  0.5000 x1
P  0.5000  0.5000  0.0000 x1
O  0.0000  0.5000  0.5000 x2

Total moment (μB/atom): 0.177
E (eV/atom): -7.3006
Energy relative to the lowest polymorph listed for this composition (meV per atom): 383.5

Entry 26:
VASP calculation (PBE) on crystalline TaSiPO2 at its relaxed geometry.

Cell: 3.8886 3.8886 5.2285 Å, 90.00 90.00 90.00°
Space group P4/mmm (No. 123)
Inequivalent atoms, fractional coordinates:
Ta  0.0000  0.0000  0.0000 x1
Si  0.5000  0.5000  0.5000 x1
P  0.0000  0.0000  0.5000 x1
O  0.0000  0.5000  0.0000 x2

Total moment (μB/atom): 0.000
E (eV/atom): -7.6841
Energy relative to the lowest polymorph listed for this composition (meV per atom): 0.0

Calculated energy relative to the elements, uncorrected, -1.857; -1.940; -1.709; 0.592; 0.408; 0.555; -0.256; 0.031; -0.618; -0.098; -1.867; -0.438; -1.065; -1.222; 0.315; -1.911; 0.182; 0.460; -1.538; 0.196; -0.128; -0.944; -2.146; 1.251; -0.780; -1.164 eV/atom (same order as the records).